Record 1
This record from Alexandria describes a geometry-optimized ZrCo2Pt structure. The functional is PBE.

Lattice parameters (Å, degrees): 9.3366 9.3366 9.3366 156.30 156.30 33.77
Fractional positions:
Zr  0.0000  0.0000  0.0000
Zr  0.7500  0.2500  0.5000
Co  0.1935  0.6250  0.0685
Co  0.3750  0.4435  0.5685
Co  0.5565  0.1250  0.9315
Co  0.8750  0.8065  0.4315
Pt  0.2500  0.7500  0.5000
Pt  0.5000  0.5000  0.0000

Results
electronic total energy: -57.58 eV per cell
ΔH_f (0 K): 3.0 meV/atom
size of the total moment: 2.27 μB per formula unit

---

Record 2
This record from Alexandria describes a geometry-optimized MnZn2Tc structure. The functional is PBE.

Lattice parameters (Å, degrees): 2.6485 2.6485 7.9574 90.00 90.00 90.00
Fractional positions:
Mn  0.0000  0.0000  0.0000
Zn  0.5000  0.5000  0.2418
Zn  0.5000  0.5000  0.7582
Tc  0.0000  0.0000  0.5000

Results
excess energy over the best structure of this formula in the dataset: 118.4 meV per atom
electronic total energy: -21.59 eV per cell
ΔH_f (0 K): 124.5 meV/atom
size of the total moment: 3.32 μB per formula unit

---

Record 3
This record from Alexandria describes a geometry-optimized Cs2MnFeSe4 structure. The functional is PBE.

Lattice parameters (Å, degrees): 14.6686 13.0781 7.7866 85.35 62.70 31.94
Fractional positions:
Cs  0.0529  0.0529  0.6971
Cs  0.3029  0.3029  0.9471
Cs  0.6971  0.6971  0.0529
Cs  0.9471  0.9471  0.3029
Mn  0.3750  0.3750  0.3750
Mn  0.6250  0.6250  0.6250
Fe  0.1250  0.1250  0.1250
Fe  0.8750  0.8750  0.8750
Se  0.0092  0.3424  0.4204
Se  0.2720  0.5796  0.6576
Se  0.3424  0.0092  0.7280
Se  0.4204  0.7280  0.0092
Se  0.5796  0.2720  0.9908
Se  0.6576  0.9908  0.2720
Se  0.7280  0.4204  0.3424
Se  0.9908  0.6576  0.5796

Results
formation energy (no corrections): -17.0 kcal/mol of atoms
electronic total energy: -78.38 eV per cell
size of the total moment: 4.92 μB per formula unit

---

Record 4
This record from Alexandria describes a geometry-optimized Rb2Tl2P structure. The functional is PBE.

Lattice parameters (Å, degrees): 7.8348 7.8348 5.9684 90.00 90.00 90.00
Fractional positions:
Rb  0.1861  0.3139  0.0000
Rb  0.3139  0.8139  0.0000
Rb  0.6861  0.1861  0.0000
Rb  0.8139  0.6861  0.0000
Tl  0.1396  0.6396  0.5000
Tl  0.3604  0.1396  0.5000
Tl  0.6396  0.8604  0.5000
Tl  0.8604  0.3604  0.5000
P  0.0000  0.0000  0.5000
P  0.5000  0.5000  0.5000

Results
excess energy over the best structure of this formula in the dataset: 159.1 meV per atom
electronic total energy: -23.77 eV per cell
ΔH_f (0 K): 38.6 meV/atom
size of the total moment: 0.00 μB per formula unit